1.
# Li4HfO4

Li4HfO4 after structural relaxation (PBEsol, the Alexandria database).

Cell: 5.4782 5.4782 6.3106 Å, 90.00 90.00 84.16°
Last column: nearest neighbours and their distance in Å.
Positions (direct):
Li 0.0984 0.6154 0.7500  4 O 1.96-2.14
Li 0.3436 0.3436 0.0000  4 O 1.93-1.96
Li 0.3436 0.3436 0.5000  4 O 1.93-1.96
Li 0.3846 0.9016 0.7500  4 O 1.96-2.14
Li 0.6154 0.0984 0.2500  4 O 1.96-2.14
Li 0.6564 0.6564 0.0000  4 O 1.93-1.96
Li 0.6564 0.6564 0.5000  4 O 1.93-1.96
Li 0.9016 0.3846 0.2500  4 O 1.96-2.14
Hf 0.1531 0.8469 0.2500  4 O 1.95-1.96
Hf 0.8469 0.1531 0.7500  4 O 1.95-1.96
O 0.1897 0.2257 0.7500  4 Li 1.93-2.14, 1 Hf 1.96
O 0.2257 0.1897 0.2500  4 Li 1.93-2.14, 1 Hf 1.96
O 0.2974 0.7026 0.5092  1 Hf 1.95, 4 Li 1.96
O 0.2974 0.7026 0.9908  1 Hf 1.95, 4 Li 1.96
O 0.7026 0.2974 0.0092  1 Hf 1.95, 4 Li 1.96
O 0.7026 0.2974 0.4908  1 Hf 1.95, 4 Li 1.96
O 0.7743 0.8103 0.7500  4 Li 1.93-2.14, 1 Hf 1.96
O 0.8103 0.7743 0.2500  4 Li 1.93-2.14, 1 Hf 1.96

***

2.
# Li2HfO3

Li2HfO3 after structural relaxation (PBEsol, the Alexandria database).

Cell: 5.3166 5.3166 5.1872 Å, 100.13 100.13 119.67°
Last column: nearest neighbours and their distance in Å.
Positions (direct):
Li 0.0000 0.0000 0.0000  6 O 2.18-2.22
Li 0.1546 0.8454 0.5000  6 O 2.14-2.27
Li 0.5000 0.5000 0.5000  6 O 2.11-2.23
Li 0.8454 0.1546 0.5000  6 O 2.14-2.27
Hf 0.3322 0.6678 0.0000  6 O 2.06-2.08
Hf 0.6678 0.3322 0.0000  6 O 2.06-2.08
O 0.0797 0.4302 0.2330  2 Hf 2.06-2.07, 4 Li 2.18-2.27
O 0.2730 0.2730 0.7605  2 Hf 2.08, 4 Li 2.11-2.22
O 0.4302 0.0797 0.2330  2 Hf 2.06-2.07, 4 Li 2.18-2.27
O 0.5698 0.9203 0.7670  2 Hf 2.06-2.07, 4 Li 2.18-2.27
O 0.7270 0.7270 0.2395  2 Hf 2.08, 4 Li 2.11-2.22
O 0.9203 0.5698 0.7670  2 Hf 2.06-2.07, 4 Li 2.18-2.27

***

3.
# LiHfP2O

LiHfP2O after structural relaxation (PBEsol, the Alexandria database).

Cell: 4.4024 4.4024 3.4524 Å, 90.00 90.00 90.00°
Last column: nearest neighbours and their distance in Å.
Positions (direct):
Li 0.0000 0.0000 0.0000  2 O 1.73
Hf 0.5000 0.5000 0.5000  8 P 2.80, 4 O 3.11
P 0.0000 0.5000 0.0000  2 Li 2.20
P 0.5000 0.0000 0.0000  2 Li 2.20
O 0.0000 0.0000 0.5000  2 Li 1.73

## Properties
E above lowest polymorph ... 464 meV per atom

***

4.
# LiHfP2O

LiHfP2O after structural relaxation (PBEsol, the Alexandria database).

Cell: 5.1159 5.1159 3.9373 Å, 90.00 90.00 90.00°
Last column: nearest neighbours and their distance in Å.
Positions (direct):
Li 0.0000 0.0000 0.0000  8 P 3.23
Hf 0.5000 0.5000 0.5000  2 O 1.97
P 0.0000 0.5000 0.5000  2 Hf 2.56
P 0.5000 0.0000 0.5000  2 Hf 2.56
O 0.5000 0.5000 0.0000  2 Hf 1.97

## Properties
E above lowest polymorph ... 0 meV per atom

***

V, record by record: 10.5 9.9 13.4 20.6 Å³/atom
Uncorrected energy, record by record: -6.832 -7.860 -6.029 -6.494 eV/atom